SCAN Ca2Cu3, single point on PBEsol structure; total moment = 0.082 μB/f.u.; energy relative to the elements = -0.09 eV per atom
1.0
4.0978 0.0000 0.0000
-2.0489 3.5488 0.0000
0.0000 0.0000 7.8136
Ca Cu
2 3
Cartesian
0.0000 2.3659 1.6028 Ca
2.0489 1.1829 6.2108 Ca
0.0000 0.0000 3.9068 Cu
0.0000 2.3659 4.3828 Cu
2.0489 1.1829 3.4308 Cu

SCAN CaCu3, single point on PBEsol structure; total moment = 0.000 μB/f.u.; energy relative to the elements = -0.08 eV per atom
1.0
7.2111 0.0000 0.0000
0.0000 6.7098 0.0000
0.0000 0.0000 5.3152
Ca Cu
4 12
Cartesian
0.2133 1.6775 0.6405 Ca
3.3923 5.0324 3.2981 Ca
3.8188 1.6775 2.0171 Ca
6.9978 5.0324 4.6747 Ca
0.9400 5.0324 1.8976 Cu
1.1563 0.4229 3.1084 Cu
1.1563 2.9320 3.1084 Cu
2.4493 3.7778 0.4508 Cu
2.4493 6.2870 0.4508 Cu
2.6656 1.6775 4.5552 Cu
4.5455 5.0324 0.7600 Cu
4.7618 0.4229 4.8645 Cu
4.7618 2.9320 4.8645 Cu
6.0548 3.7778 2.2068 Cu
6.0548 6.2870 2.2068 Cu
6.2711 1.6775 3.4176 Cu

SCAN CaCu5, single point on PBEsol structure; total moment = 0.000 μB/f.u.; energy relative to the elements = -0.12 eV per atom
1.0
5.0006 0.0000 0.0000
-2.5003 4.3306 0.0000
0.0000 0.0000 3.9964
Ca Cu
1 5
Cartesian
0.0000 0.0000 0.0000 Ca
-1.2501 2.1653 1.9982 Cu
0.0000 2.8871 0.0000 Cu
2.5003 0.0000 1.9982 Cu
1.2501 2.1653 1.9982 Cu
2.5003 1.4435 0.0000 Cu

SCAN Ca3Cu, single point on PBEsol structure; total moment = 0.282 μB/f.u.; energy relative to the elements = -0.01 eV per atom
1.0
3.6069 0.0000 0.0000
0.0000 3.6069 0.0000
0.0000 0.0000 9.2859
Ca Cu
3 1
Cartesian
0.0000 0.0000 0.0000 Ca
1.8035 1.8035 2.9634 Ca
1.8035 1.8035 6.3225 Ca
0.0000 0.0000 4.6430 Cu

SCAN CaCu, single point on PBEsol structure; total moment = 0.023 μB/f.u.; energy relative to the elements = -0.12 eV per atom
1.0
3.5723 -2.0622 0.0000
3.5723 2.0622 0.0000
-2.3550 0.0000 6.9301
Ca Cu
2 2
Cartesian
0.0034 0.0000 1.8239 Ca
4.7861 0.0000 5.1062 Ca
0.0256 0.0000 6.9133 Cu
4.7640 0.0000 0.0168 Cu

SCAN Ca3Cu, single point on PBEsol structure; total moment = 0.004 μB/f.u.; energy relative to the elements = 0.02 eV per atom
1.0
-1.8744 5.2584 3.2320
1.8744 -5.2584 3.2320
1.8744 5.2584 -3.2320
Ca Cu
3 1
Cartesian
0.0000 0.0000 0.0000 Ca
1.8744 3.3145 -0.0805 Ca
0.0000 1.9440 3.1516 Ca
0.0000 5.2584 1.0674 Cu

SCAN CaCu, single point on PBEsol structure; total moment = 0.068 μB/f.u.; energy relative to the elements = 0.16 eV per atom
1.0
3.8280 0.0000 0.0000
-1.9140 3.3151 0.0000
0.0000 0.0000 8.0704
Ca Cu
2 2
Cartesian
0.0000 2.2101 1.6276 Ca
1.9140 1.1050 6.4427 Ca
0.0000 2.2101 4.5221 Cu
1.9140 1.1050 3.5483 Cu

SCAN CaCu, single point on PBEsol structure; total moment = 0.000 μB/f.u.; energy relative to the elements = 0.00 eV per atom
1.0
-1.8193 2.3026 5.2191
1.8193 -2.3026 5.2191
1.8193 2.3026 -5.2191
Ca Cu
2 2
Cartesian
0.0000 1.1513 1.1339 Ca
1.8193 1.1513 4.0852 Ca
1.8193 1.1513 -1.8253 Cu
0.0000 1.1513 7.0445 Cu

SCAN CaCu, single point on PBEsol structure; total moment = 0.000 μB/f.u.; energy relative to the elements = -0.01 eV per atom
1.0
9.7488 0.0000 0.0000
0.0000 8.8938 0.0000
0.0000 0.0000 6.1777
Ca Cu
12 12
Cartesian
1.1220 2.2235 0.0000 Ca
1.1220 2.2235 3.0889 Ca
2.0196 5.5777 1.5444 Ca
2.0196 7.7630 4.6333 Ca
3.7312 0.1922 1.5444 Ca
3.7312 4.2547 4.6333 Ca
6.0177 4.6391 1.5444 Ca
6.0177 8.7016 4.6333 Ca
7.7292 1.1308 1.5444 Ca
7.7292 3.3161 4.6333 Ca
8.6269 6.6704 0.0000 Ca
8.6269 6.6704 3.0889 Ca
0.7297 4.8490 4.6333 Cu
0.7297 8.4917 1.5444 Cu
3.5583 1.3843 4.6333 Cu
3.5583 3.0626 1.5444 Cu
4.4901 6.6704 0.0000 Cu
4.4901 6.6704 3.0889 Cu
5.2587 2.2235 0.0000 Cu
5.2587 2.2235 3.0889 Cu
6.1905 5.8312 4.6333 Cu
6.1905 7.5095 1.5444 Cu
9.0191 0.4021 4.6333 Cu
9.0191 4.0448 1.5444 Cu

SCAN Ca5Cu3, single point on PBEsol structure; total moment = 0.003 μB/f.u.; energy relative to the elements = -0.02 eV per atom
1.0
3.5352 0.0000 0.0000
0.0000 3.5352 0.0000
0.0000 0.0000 16.3708
Ca Cu
5 3
Cartesian
0.0000 0.0000 0.0000 Ca
0.0000 0.0000 3.4252 Ca
0.0000 0.0000 12.9457 Ca
1.7676 1.7676 6.4862 Ca
1.7676 1.7676 9.8847 Ca
0.0000 0.0000 8.1854 Cu
1.7676 1.7676 1.7338 Cu
1.7676 1.7676 14.6371 Cu

SCAN Ca3Cu, single point on PBEsol structure; total moment = 0.000 μB/f.u.; energy relative to the elements = 0.20 eV per atom
1.0
5.5882 0.0000 0.0000
0.0000 5.5882 0.0000
0.0000 0.0000 5.5882
Ca Cu
3 1
Cartesian
0.0000 0.0000 2.7941 Ca
0.0000 2.7941 0.0000 Ca
2.7941 0.0000 0.0000 Ca
0.0000 0.0000 0.0000 Cu

SCAN Ca3Cu, single point on PBEsol structure; total moment = 0.145 μB/f.u.; energy relative to the elements = -0.06 eV per atom
1.0
7.5931 0.0000 0.0000
0.0000 9.7775 0.0000
0.0000 0.0000 6.6410
Ca Cu
12 4
Cartesian
0.2924 2.4444 0.9664 Ca
1.3283 0.6420 4.4091 Ca
1.3283 4.2467 4.4091 Ca
2.4682 5.5308 1.0886 Ca
2.4682 9.1355 1.0886 Ca
3.5041 7.3331 4.2869 Ca
4.0889 2.4444 2.3541 Ca
5.1249 0.6420 5.5525 Ca
5.1249 4.2467 5.5525 Ca
6.2647 5.5308 2.2319 Ca
6.2647 9.1355 2.2319 Ca
7.3007 7.3331 5.6746 Ca
0.9149 7.3331 2.9862 Cu
2.8817 2.4444 6.3067 Cu
4.7114 7.3331 0.3343 Cu
6.6782 2.4444 3.6548 Cu

SCAN Ca2EuCu2O6, single point on PBEsol structure; total moment = 7.000 μB/f.u.; energy relative to the elements, uncorrected = -2.20 eV/atom
1.0
7.4657 -3.0350 0.0000
7.4657 3.0350 0.0000
-1.6536 0.0000 5.9050
Ca Eu Cu O
4 2 4 12
Cartesian
2.1139 1.1376 2.8050 Ca
6.6389 2.7796 2.9525 Ca
1.2871 -1.1376 5.7575 Ca
7.4657 -2.7796 0.0000 Ca
10.9774 1.1575 3.1124 Eu
11.8042 -1.1575 0.1599 Eu
4.9124 0.5899 4.4345 Cu
8.2396 0.5434 1.4912 Cu
5.7392 -0.5899 1.4820 Cu
7.4129 -0.5434 4.4436 Cu
8.7620 2.3084 1.6939 O
6.4452 1.1284 1.3415 O
3.9734 0.0153 1.5868 O
3.1466 -0.0153 4.5393 O
6.6960 1.1668 4.5821 O
5.6185 -1.1284 4.2940 O
9.1761 0.0841 4.3302 O
10.0029 -0.0841 1.3777 O
7.5228 -1.1668 1.6296 O
12.6974 0.6686 1.3347 O
11.8706 -0.6686 4.2872 O
7.9352 -2.3084 4.6464 O

SCAN CaEu2Cu2O6, single point on PBEsol structure; total moment = 14.000 μB/f.u.; energy relative to the elements, uncorrected = -2.26 eV/atom
1.0
7.5518 -3.0653 0.0000
7.5518 3.0653 0.0000
-1.6856 0.0000 5.9004
Ca Eu Cu O
2 4 4 12
Cartesian
6.2876 2.7858 4.4253 Ca
7.1304 -2.7858 1.4751 Ca
1.7725 1.1600 4.2514 Eu
2.6153 -1.1600 1.3012 Eu
10.8027 1.1600 4.5992 Eu
11.6455 -1.1600 1.6490 Eu
6.2960 0.5692 0.0058 Cu
7.9648 0.5692 2.9444 Cu
5.4532 -0.5692 2.9560 Cu
7.1220 -0.5692 5.8947 Cu
1.7861 0.7003 0.1840 O
0.9433 -0.7003 3.1342 O
6.1563 1.1742 2.7791 O
3.6320 0.0522 3.0706 O
4.4748 -0.0522 0.1204 O
8.1045 1.1742 0.1712 O
5.3135 -1.1742 5.7293 O
8.9432 0.0522 5.7801 O
9.7860 -0.0522 2.8298 O
7.2617 -1.1742 3.1214 O
12.4747 0.7003 2.7662 O
11.6320 -0.7003 5.7165 O

SCAN CaLaFeCuO6, single point on PBEsol structure; total moment = 4.000 μB/f.u.; energy relative to the elements, uncorrected = -2.31 eV/atom
1.0
5.3637 0.0000 0.0000
0.0000 5.3822 0.0000
-5.3389 0.0000 7.5357
Ca La Fe Cu O
2 2 2 2 12
Cartesian
0.0000 1.1120 0.0000 Ca
-2.6695 4.2702 3.7679 Ca
0.0830 1.5016 3.7658 La
-2.5865 3.8806 7.5337 La
2.7343 1.3455 1.8787 Fe
0.0648 4.0367 5.6466 Fe
-2.6174 1.3568 5.6570 Cu
0.0521 4.0254 1.8892 Cu
-2.2926 1.2682 3.7109 O
-4.9621 4.1141 7.4788 O
2.3275 1.4017 0.0586 O
-0.3419 3.9805 3.8265 O
1.2809 0.2044 2.1276 O
-1.3886 5.1779 5.8954 O
-1.0209 2.5416 5.9489 O
1.6486 2.8407 2.1810 O
1.1898 0.1268 5.3998 O
3.8592 5.2554 1.6320 O
4.2149 2.4435 1.5905 O
1.5454 2.9387 5.3583 O

SCAN CaMnFeCu2, single point on PBEsol structure; total moment = 7.139 μB/f.u.; energy relative to the elements = 1.09 eV per atom
1.0
4.4790 0.0000 0.0000
0.0000 4.4790 0.0000
0.0000 0.0000 4.8364
Ca Mn Fe Cu
1 1 1 2
Cartesian
0.0000 0.0000 0.0000 Ca
0.0000 0.0000 2.4182 Mn
2.2395 2.2395 0.0000 Fe
0.0000 2.2395 2.4182 Cu
2.2395 0.0000 2.4182 Cu

SCAN Ca2FeCuSO3, single point on PBEsol structure; total moment = 4.609 μB/f.u.; energy relative to the elements, uncorrected = -2.08 eV/atom
1.0
3.7540 0.0000 0.0000
0.0000 3.7540 0.0000
0.0000 0.0000 14.7724
Ca Fe Cu S O
4 2 2 2 6
Cartesian
0.9385 0.9385 1.2655 Ca
0.9385 0.9385 4.6017 Ca
2.8155 2.8155 10.1706 Ca
2.8155 2.8155 13.5068 Ca
0.9385 0.9385 11.8906 Fe
2.8155 2.8155 2.8817 Fe
0.9385 2.8155 7.3862 Cu
2.8155 0.9385 7.3862 Cu
0.9385 0.9385 8.8288 S
2.8155 2.8155 5.9436 S
0.9385 0.9385 13.8177 O
0.9385 2.8155 3.1361 O
0.9385 2.8155 11.6363 O
2.8155 0.9385 3.1361 O
2.8155 0.9385 11.6363 O
2.8155 2.8155 0.9546 O

SCAN CaFe2CuW, single point on PBEsol structure; total moment = 5.971 μB/f.u.; energy relative to the elements = 2.30 eV per atom
1.0
4.2809 0.0000 0.0000
0.0000 4.2809 0.0000
0.0000 0.0000 4.3587
Ca Fe Cu W
1 2 1 1
Cartesian
0.0000 0.0000 0.0000 Ca
0.0000 2.1405 0.0000 Fe
2.1405 0.0000 0.0000 Fe
0.0000 0.0000 2.1793 Cu
2.1405 2.1405 2.1793 W

SCAN CaGa2Cu2, single point on PBEsol structure; total moment = 0.000 μB/f.u.; energy relative to the elements = -0.37 eV per atom
1.0
-2.0822 2.0822 4.9703
2.0822 -2.0822 4.9703
2.0822 2.0822 -4.9703
Ca Ga Cu
1 2 2
Cartesian
0.0000 0.0000 0.0000 Ca
0.0000 0.0000 3.7037 Ga
0.0000 0.0000 6.2369 Ga
2.0822 0.0000 2.4852 Cu
0.0000 2.0822 2.4852 Cu

SCAN CaLaGaCuO5, single point on PBEsol structure; total moment = 0.001 μB/f.u.; energy relative to the elements, uncorrected = -2.52 eV/atom
1.0
3.7953 -7.9921 0.0000
3.7953 7.9921 0.0000
-3.6254 0.0000 3.8016
Ca La Ga Cu O
2 2 2 2 10
Cartesian
3.7953 5.7360 0.0000 Ca
3.7953 -5.7360 0.0000 Ca
-0.0372 2.3466 3.6477 La
-0.0372 -2.3466 3.6477 La
2.2175 0.0000 1.9687 Ga
5.5332 0.0000 1.4636 Ga
1.8508 4.0094 1.8297 Cu
1.8508 -4.0094 1.8297 Cu
1.9210 6.3854 2.2841 O
1.4059 1.6069 1.7237 O
3.7433 3.8708 1.8210 O
1.9715 3.8544 3.7355 O
1.4059 -1.6069 1.7237 O
3.7354 0.0000 0.7773 O
2.9861 0.0000 3.7005 O
1.9210 -6.3854 2.2841 O
3.7433 -3.8708 1.8210 O
1.9715 -3.8544 3.7355 O